# Mn2CrF6 PBE+U optimized geometry
# Raw total energy (eV/atom): -6.377
data_Mn2CrF6
_chemical_formula_sum 'Mn4 Cr2 F12'
_symmetry_space_group_name_H-M 'P 42/m n m'
_symmetry_Int_Tables_number 136
_symmetry_space_group_name_Hall '-P 4n 2n'
_cell_length_a 4.884
_cell_length_b 4.884
_cell_length_c 10.247
_cell_angle_alpha 90.00
_cell_angle_beta 90.00
_cell_angle_gamma 90.00
loop_
_atom_site_label
_atom_site_type_symbol
_atom_site_fract_x
_atom_site_fract_y
_atom_site_fract_z
Mn1 Mn 0.000 0.000 0.167
Cr1 Cr 0.000 0.000 0.500
F1 F 0.196 0.196 0.331
F2 F 0.203 0.203 0.000